No. 1
VASP calculation (GGA-PBE) on a relaxed structure of Dy.

Calculated values
ΔE to the lowest computed polymorph: 461.8 meV/atom
magnetization: 0.00 μB per cell
calculated volume: 63.6 Å³ per cell
N(E_F): 1.78 states/eV/atom
space group: No. 141

Cell lengths 4.6669, 4.6669, 4.6669 Å; angles 97.41, 97.41, 137.91 degrees
Fractional positions:
Dy: 0.3750 0.6250 0.7500
Dy: 0.6250 0.3750 0.2500

No. 2
VASP calculation (GGA-PBE) on a relaxed structure of Dy.

Calculated values
ΔE to the lowest computed polymorph: 8.1 meV/atom
magnetization: 0.00 μB per cell
calculated volume: 63.5 Å³ per cell
N(E_F): 2.17 states/eV/atom
space group: No. 194

Cell lengths 3.6079, 3.6079, 5.6303 Å; angles 90.00, 90.00, 120.00 degrees
Fractional positions:
Dy: 0.3333 0.6667 0.2500
Dy: 0.6667 0.3333 0.7500

No. 3
VASP calculation (GGA-PBE) on a relaxed structure of Dy.

Calculated values
ΔE to the lowest computed polymorph: 1944.9 meV/atom
magnetization: 0.00 μB per cell
calculated volume: 83.7 Å³ per cell
N(E_F): 1.55 states/eV/atom
space group: No. 227

Cell lengths 4.9096, 4.9096, 4.9096 Å; angles 60.00, 60.00, 60.00 degrees
Fractional positions:
Dy: 0.1250 0.1250 0.1250
Dy: 0.8750 0.8750 0.8750

No. 4
VASP calculation (GGA-PBE) on a relaxed structure of Dy.

Calculated values
ΔE to the lowest computed polymorph: 0.0 meV/atom
magnetization: 0.00 μB per cell
calculated volume: 93.9 Å³ per cell
N(E_F): 1.33 states/eV/atom
space group: No. 166

Cell lengths 8.8044, 8.8044, 8.8044 Å; angles 23.32, 23.32, 23.32 degrees
Fractional positions:
Dy: 0.0000 0.0000 0.0000
Dy: 0.2223 0.2223 0.2223
Dy: 0.7777 0.7777 0.7777